(1)
VASP calculation (GGA-PBE) on a relaxed Tb2NdThN4 crystal.

Lattice parameters (Å, degrees): 3.5863 6.1969 6.1890 109.36 90.00 90.00
Last column: nearest neighbours and their distance in Å.
Atoms (fractional coordinates):
N: 0.0000 0.7592 0.2556  3 Tb 2.50-2.55, 1 Th 2.51, 2 Nd 2.57
N: 0.5000 0.7545 0.7465  3 Tb 2.49-2.54, 2 Th 2.53, 1 Nd 2.57
N: 0.0000 0.2408 0.7444  3 Tb 2.50-2.55, 1 Th 2.51, 2 Nd 2.57
N: 0.5000 0.2455 0.2535  3 Tb 2.49-2.54, 2 Th 2.53, 1 Nd 2.57
Nd: 0.5000 0.5000 0.0000  6 N 2.57
Tb: 0.0000 0.5000 0.5000  6 N 2.54-2.55
Tb: 0.5000 0.0000 0.5000  6 N 2.49-2.50
Th: 0.0000 0.0000 0.0000  6 N 2.51-2.53

Properties
Its raw formation energy is -1.58 eV per atom. As for the space group: P2/m. Its density of states at the Fermi level is 0.217 states/eV per atom. Its spin magnetization is 0.00 Bohr magnetons per cell.

(2)
VASP calculation (GGA-PBE) on a relaxed La3CuBr2 crystal.

Lattice parameters (Å, degrees): 7.5637 7.6170 7.5099 80.57 59.76 71.02
Last column: nearest neighbours and their distance in Å.
Atoms (fractional coordinates):
Br: 0.1578 0.5000 0.6844  6 La 3.15-3.23
Br: 0.5000 0.5000 0.0000  6 La 3.11-3.23
Br: 0.8422 0.5000 0.3156  6 La 3.15-3.23
Br: 0.0000 0.0000 0.0000  6 La 3.09-3.11
La: 0.5731 0.2300 0.3506  2 Cu 2.93-2.96, 4 Br 3.11-3.23
La: 0.4269 0.7700 0.6494  2 Cu 2.93-2.96, 4 Br 3.11-3.23
La: 0.7197 0.7810 0.0000  2 Cu 2.92, 4 Br 3.09-3.21
La: 0.0763 0.7700 0.3506  2 Cu 2.93-2.96, 4 Br 3.11-3.23
La: 0.2803 0.2190 0.0000  2 Cu 2.92, 4 Br 3.09-3.21
La: 0.9237 0.2300 0.6494  2 Cu 2.93-2.96, 4 Br 3.11-3.23
Cu: 0.6690 0.0000 0.6619  6 La 2.92-2.96
Cu: 0.3310 0.0000 0.3381  6 La 2.92-2.96

Properties
Its raw formation energy is -0.92 eV per atom. As for the space group: C2/m. Its density of states at the Fermi level is 0.992 states/eV per atom. Its spin magnetization is 0.00 Bohr magnetons per cell.